(1)
The following is a PBE calculation of an optimized crystal structure of Zn2GaAu4, from the Alexandria database. Values from VASP.

Results
ρ, g/cm3: 13.5
Electronic total energy, eV per atom: -2.81
D(E_F), states/eV/atom: 0.31
M_tot, μB/f.u.: 0.00
Energy relative to the elements, eV/atom: -0.143

Structure (Quantum ESPRESSO input):
```
&SYSTEM
  ibrav = 0, nat = 14, ntyp = 3
/
ATOMIC_SPECIES
Zn 65.41 Zn.upf
Au 196.97 Au.upf
Ga 69.72 Ga.upf
CELL_PARAMETERS angstrom
4.458 0.079 0.000
-2.160 3.901 0.000
0.000 0.000 13.845
ATOMIC_POSITIONS angstrom
Zn 3.391 0.695 13.040
Zn -1.093 3.285 0.805
Zn 3.391 0.695 7.728
Zn -1.093 3.285 6.117
Au 1.149 1.990 0.000
Au 1.149 1.990 6.923
Au -1.101 3.289 3.461
Au 3.284 0.757 5.049
Au -0.986 3.222 11.972
Au 3.399 0.690 10.384
Au 3.284 0.757 1.873
Au -0.986 3.222 8.796
Ga 1.138 1.996 3.461
Ga 1.160 1.983 10.384
```

(2)
The following is a PBE calculation of an optimized crystal structure of Zn2GaAu2, from the Alexandria database. Values from VASP.

Results
ρ, g/cm3: 11.2
Electronic total energy, eV per atom: -2.58
D(E_F), states/eV/atom: 0.25
M_tot, μB/f.u.: 0.00
Energy relative to the elements, eV/atom: -0.149

Structure (Quantum ESPRESSO input):
```
&SYSTEM
  ibrav = 0, nat = 10, ntyp = 3
/
ATOMIC_SPECIES
Zn 65.41 Zn.upf
Au 196.97 Au.upf
Ga 69.72 Ga.upf
CELL_PARAMETERS angstrom
-4.814 2.000 -5.864
-4.122 -6.578 1.140
-1.690 1.381 1.859
ATOMIC_POSITIONS angstrom
Zn -4.041 -3.180 0.899
Zn -7.462 -3.798 -1.752
Zn -6.585 -0.017 -3.764
Zn -3.164 0.601 -1.113
Au -5.004 -4.797 -0.985
Au -2.179 -1.825 -0.625
Au -3.932 0.218 -3.738
Au -6.757 -2.753 -4.098
Ga 0.000 0.000 0.000
Ga -4.468 -2.289 -2.362
```

(3)
The following is a PBE calculation of an optimized crystal structure of ZnGaAu, from the Alexandria database. Values from VASP.

Results
ρ, g/cm3: 10.1
Electronic total energy, eV per atom: -2.56
D(E_F), states/eV/atom: 0.30
M_tot, μB/f.u.: 0.00
Energy relative to the elements, eV/atom: -0.037

Structure (Quantum ESPRESSO input):
```
&SYSTEM
  ibrav = 0, nat = 3, ntyp = 3
/
ATOMIC_SPECIES
Au 196.97 Au.upf
Ga 69.72 Ga.upf
Zn 65.41 Zn.upf
CELL_PARAMETERS angstrom
3.242 0.000 0.000
0.000 4.401 0.000
0.000 -2.201 3.811
ATOMIC_POSITIONS angstrom
Au 1.087 0.000 2.541
Ga 0.249 0.000 0.000
Zn 1.907 2.201 1.270
```